A geometry-optimized Mn3PbF structure. Source: the Alexandria database, functional PBE+U.

Results
D(E_F): 2.02 states/eV/cell
space group: Pm-3m, No. 221
magnetization: 14.8 μB per cell
total energy: -5.047 eV/atom

abc: 5.4797 5.4797 5.4797
angles: 90.00 90.00 90.00
Site moments in Bohr magnetons follow the coordinates.
Fractional coordinates of all 5 atoms:
F (0.5000, 0.5000, 0.5000)  0.04
Mn (0.0000, 0.0000, 0.5000)  4.74
Mn (0.0000, 0.5000, 0.0000)  4.61
Pb (0.0000, 0.0000, 0.0000)  -0.12
Mn (0.5000, 0.0000, 0.0000)  4.55